{"formula": "NiAsO", "functional": "PBE with a Hubbard U", "state": "optimized geometry", "lattice_angstrom": [[-3.075, 3.838, -2.164], [1.553, -1.633, -5.103], [-4.446, -3.086, 0.845]], "species": ["O", "O", "O", "O", "As", "As", "As", "As", "Ni", "Ni", "Ni", "Ni"], "frac_coords": [[0.400, 0.853, 0.665], [0.600, 0.147, 0.335], [0.100, 0.853, 0.165], [0.900, 0.147, 0.835], [0.399, 0.335, 0.167], [0.601, 0.665, 0.833], [0.899, 0.665, 0.333], [0.101, 0.335, 0.667], [0.029, 0.789, 0.775], [0.471, 0.789, 0.275], [0.971, 0.211, 0.225], [0.529, 0.211, 0.725]], "dos_at_fermi_per_ev_cell": 2.68, "volume_a3_per_fu": 40, "magmom_total_mub_per_cell": 3.99, "dft_energy_ev_per_cell": -53.34}


{"formula": "Ni3AsO6", "functional": "PBE with a Hubbard U", "state": "optimized geometry", "lattice_angstrom": [[-3.671, -3.046, -0.839], [-0.297, -4.550, 2.977], [-3.792, -0.582, 3.864]], "species": ["Ni", "Ni", "Ni", "As", "O", "O", "O", "O", "O", "O"], "frac_coords": [[0.327, 0.256, 0.256], [0.673, 0.744, 0.744], [0.000, 0.000, 0.000], [0.500, 0.500, 0.500], [0.347, 0.176, 0.659], [0.653, 0.341, 0.824], [0.653, 0.824, 0.341], [0.347, 0.659, 0.176], [0.111, 0.714, 0.714], [0.889, 0.286, 0.286]], "dos_at_fermi_per_ev_cell": 3.48, "volume_a3_per_fu": 103, "magmom_total_mub_per_cell": 4.99, "dft_energy_ev_per_cell": -51.14}


{"formula": "Ni2AsO4", "functional": "PBE with a Hubbard U", "state": "optimized geometry", "lattice_angstrom": [[-2.348, 0.663, -1.868], [-0.457, -4.949, -1.182], [-1.654, 1.610, 5.177]], "species": ["Ni", "Ni", "As", "O", "O", "O", "O"], "frac_coords": [[0.710, 0.725, 0.419], [0.290, 0.275, 0.581], [0.000, 0.000, 0.000], [0.872, 0.164, 0.745], [0.128, 0.836, 0.255], [0.627, 0.277, 0.253], [0.373, 0.723, 0.747]], "dos_at_fermi_per_ev_cell": 1.87, "volume_a3_per_fu": 75, "magmom_total_mub_per_cell": 3.37, "e_above_lowest_polymorph_ev_per_fu": 0.000, "dft_energy_ev_per_cell": -35.96}


{"formula": "NiAsO2", "functional": "PBE with a Hubbard U", "state": "optimized geometry", "lattice_angstrom": [[-2.285, 4.227, -1.451], [-1.650, 0.716, 4.686], [1.657, 4.750, 2.546]], "species": ["Ni", "Ni", "As", "As", "O", "O", "O", "O"], "frac_coords": [[0.500, 0.500, 0.000], [0.250, 0.750, 0.500], [0.000, 0.000, 0.000], [0.750, 0.250, 0.500], [0.634, 0.125, 0.250], [0.116, 0.625, 0.250], [0.375, 0.366, 0.750], [0.875, 0.884, 0.750]], "dos_at_fermi_per_ev_cell": 0.06, "volume_a3_per_fu": 55, "magmom_total_mub_per_cell": 2.00, "dft_energy_ev_per_cell": -37.26}